Record 1
{
  "formula": "Ag2TeI",
  "functional": "PBE",
  "state": "relaxed",
  "space_group": "I-42d",
  "n_ef_per_ev_cell": 14.3,
  "de_polymorph_mev_per_atom": 76,
  "lattice": [[6.5624, 0.0000, 0.0000], [0.0000, 6.5624, 0.0000], [0.0000, 0.0000, 12.6693]],
  "species": ["Ag", "Ag", "Ag", "Ag", "Ag", "Ag", "Ag", "Ag", "Te", "Te", "Te", "Te", "I", "I", "I", "I"],
  "fractional_positions": [[0.2284, 0.2500, 0.1250], [0.2500, 0.7284, 0.3750], [0.2500, 0.7716, 0.8750], [0.2716, 0.2500, 0.6250], [0.7284, 0.7500, 0.6250], [0.7500, 0.2284, 0.8750], [0.7500, 0.2716, 0.3750], [0.7716, 0.7500, 0.1250], [0.0000, 0.0000, 0.0000], [0.0000, 0.5000, 0.2500], [0.5000, 0.0000, 0.7500], [0.5000, 0.5000, 0.5000], [0.0000, 0.0000, 0.5000], [0.0000, 0.5000, 0.7500], [0.5000, 0.0000, 0.2500], [0.5000, 0.5000, 0.0000]]
}

---

Record 2
{
  "formula": "LiFe2Ru",
  "functional": "PBE",
  "state": "relaxed",
  "formation_energy_mev_per_atom": 243,
  "space_group": "P4mm",
  "n_ef_per_ev_cell": 4.2,
  "lattice": [[2.5743, 0.0000, 0.0000], [0.0000, 2.5743, 0.0000], [0.0000, 0.0000, 7.8867]],
  "species": ["Li", "Fe", "Fe", "Ru"],
  "fractional_positions": [[0.0000, 0.0000, 0.0000], [0.0000, 0.0000, 0.4954], [0.5000, 0.5000, 0.7262], [0.5000, 0.5000, 0.2684]]
}

---

Record 3
{
  "formula": "CoIr4Rh3",
  "functional": "PBE",
  "state": "relaxed",
  "formation_energy_mev_per_atom": 8,
  "space_group": "C2/m",
  "n_ef_per_ev_cell": 20.8,
  "de_polymorph_mev_per_atom": 0,
  "lattice": [[17.6888, 0.0000, 0.0000], [0.0000, 2.7158, 0.0000], [-0.3942, 0.0000, 4.6724]],
  "species": ["Co", "Co", "Ir", "Ir", "Ir", "Ir", "Ir", "Ir", "Ir", "Ir", "Rh", "Rh", "Rh", "Rh", "Rh", "Rh"],
  "fractional_positions": [[0.0000, 0.0000, 0.0000], [0.5000, 0.5000, 0.0000], [0.1214, 0.5000, 0.8783], [0.1237, 0.0000, 0.3727], [0.3763, 0.5000, 0.6273], [0.3786, 0.0000, 0.1217], [0.6214, 0.0000, 0.8783], [0.6237, 0.5000, 0.3727], [0.8763, 0.0000, 0.6273], [0.8786, 0.5000, 0.1217], [0.0000, 0.5000, 0.5000], [0.2492, 0.0000, 0.7499], [0.2508, 0.5000, 0.2501], [0.5000, 0.0000, 0.5000], [0.7492, 0.5000, 0.7499], [0.7508, 0.0000, 0.2501]]
}

---

Record 4
{
  "formula": "ZrInTe2",
  "functional": "PBE",
  "state": "relaxed",
  "e_tot_ev_per_atom": -4.750,
  "space_group": "P4/mmm",
  "n_ef_per_ev_cell": 2.9,
  "lattice": [[4.3230, 0.0000, 0.0000], [0.0000, 4.3230, 0.0000], [0.0000, 0.0000, 6.0901]],
  "species": ["Zr", "In", "Te", "Te"],
  "fractional_positions": [[0.0000, 0.0000, 0.0000], [0.5000, 0.5000, 0.5000], [0.0000, 0.0000, 0.5000], [0.5000, 0.5000, 0.0000]]
}

---

Record 5
{
  "formula": "LaGa2Rh5",
  "functional": "PBE",
  "state": "relaxed",
  "formation_energy_mev_per_atom": -497,
  "space_group": "Immm",
  "n_ef_per_ev_cell": 17.7,
  "lattice": [[3.8807, 0.0000, 0.0000], [0.0000, 6.9778, 0.0000], [0.0000, 0.0000, 10.1628]],
  "species": ["La", "La", "Ga", "Ga", "Ga", "Ga", "Rh", "Rh", "Rh", "Rh", "Rh", "Rh", "Rh", "Rh", "Rh", "Rh"],
  "fractional_positions": [[0.0000, 0.0000, 0.0000], [0.5000, 0.5000, 0.5000], [0.0000, 0.5000, 0.2413], [0.0000, 0.5000, 0.7587], [0.5000, 0.0000, 0.2587], [0.5000, 0.0000, 0.7413], [0.0000, 0.1960, 0.3618], [0.0000, 0.1960, 0.6382], [0.0000, 0.5000, 0.0000], [0.0000, 0.8040, 0.3618], [0.0000, 0.8040, 0.6382], [0.5000, 0.0000, 0.5000], [0.5000, 0.3040, 0.1382], [0.5000, 0.3040, 0.8618], [0.5000, 0.6960, 0.1382], [0.5000, 0.6960, 0.8618]]
}

---

Record 6
{
  "formula": "Dy2CuSnS5",
  "functional": "PBE",
  "state": "relaxed",
  "e_tot_ev_per_atom": -5.436,
  "space_group": "Cmc2_1",
  "n_ef_per_ev_cell": 5.2,
  "lattice": [[1.9025, -8.1913, 0.0000], [1.9025, 8.1913, 0.0000], [0.0000, 0.0000, 11.6779]],
  "species": ["Dy", "Dy", "Dy", "Dy", "Cu", "Cu", "Sn", "Sn", "S", "S", "S", "S", "S", "S", "S", "S", "S", "S"],
  "fractional_positions": [[0.1171, 0.8829, 0.5000], [0.1178, 0.8822, 0.8814], [0.8822, 0.1178, 0.3814], [0.8829, 0.1171, 0.0000], [0.4992, 0.5008, 0.1868], [0.5008, 0.4992, 0.6868], [0.1866, 0.8134, 0.1958], [0.8134, 0.1866, 0.6958], [0.0367, 0.9633, 0.2766], [0.2937, 0.7063, 0.8611], [0.2969, 0.7031, 0.5237], [0.3537, 0.6463, 0.1957], [0.4924, 0.5076, 0.4929], [0.5076, 0.4924, 0.9929], [0.6463, 0.3537, 0.6957], [0.7031, 0.2969, 0.0237], [0.7063, 0.2937, 0.3611], [0.9633, 0.0367, 0.7766]]
}

---

Record 7
{
  "formula": "BeTcTe",
  "functional": "PBE",
  "state": "relaxed",
  "space_group": "P-6m2",
  "n_ef_per_ev_cell": 2.8,
  "de_polymorph_mev_per_atom": 286,
  "lattice": [[4.0485, 0.0000, 0.0000], [-2.0243, 3.5061, 0.0000], [0.0000, 0.0000, 3.3809]],
  "species": ["Be", "Tc", "Te"],
  "fractional_positions": [[0.0000, 0.0000, 0.0000], [0.6667, 0.3333, 0.0000], [0.3333, 0.6667, 0.5000]]
}

---

Record 8
{
  "formula": "LiAcAg2F8",
  "functional": "PBE",
  "state": "relaxed",
  "e_tot_ev_per_atom": -4.592,
  "space_group": "P-1",
  "lattice": [[4.4213, 0.0000, 0.0000], [0.3767, 5.4320, 0.0000], [0.1849, 0.5787, 7.7519]],
  "species": ["Li", "Ac", "Ag", "Ag", "F", "F", "F", "F", "F", "F", "F", "F"],
  "fractional_positions": [[0.0000, 0.0000, 0.0000], [0.0000, 0.0000, 0.5000], [0.4696, 0.5120, 0.7783], [0.5304, 0.4880, 0.2217], [0.0967, 0.7955, 0.7927], [0.1236, 0.7084, 0.2801], [0.3609, 0.2466, 0.9705], [0.4556, 0.2428, 0.4525], [0.5444, 0.7572, 0.5475], [0.6391, 0.7534, 0.0295], [0.8764, 0.2916, 0.7199], [0.9033, 0.2045, 0.2073]]
}

---

Record 9
{
  "formula": "Hf4GaSi",
  "functional": "PBE",
  "state": "relaxed",
  "e_tot_ev_per_atom": -8.616,
  "space_group": "P4/mcc",
  "n_ef_per_ev_cell": 8.0,
  "lattice": [[6.6591, 0.0000, 0.0000], [0.0000, 6.6591, 0.0000], [0.0000, 0.0000, 5.2186]],
  "species": ["Hf", "Hf", "Hf", "Hf", "Hf", "Hf", "Hf", "Hf", "Ga", "Ga", "Si", "Si"],
  "fractional_positions": [[0.1516, 0.3421, 0.0000], [0.1516, 0.6579, 0.5000], [0.3421, 0.1516, 0.5000], [0.3421, 0.8484, 0.0000], [0.6579, 0.1516, 0.0000], [0.6579, 0.8484, 0.5000], [0.8484, 0.3421, 0.5000], [0.8484, 0.6579, 0.0000], [0.5000, 0.5000, 0.2500], [0.5000, 0.5000, 0.7500], [0.0000, 0.0000, 0.2500], [0.0000, 0.0000, 0.7500]]
}

---

Record 10
{
  "formula": "La3YTa",
  "functional": "PBE",
  "state": "relaxed",
  "formation_energy_mev_per_atom": 1498,
  "space_group": "Pm-3m",
  "n_ef_per_ev_cell": 9.2,
  "de_polymorph_mev_per_atom": 958,
  "lattice": [[5.6248, 0.0000, 0.0000], [0.0000, 5.6248, 0.0000], [0.0000, 0.0000, 5.6248]],
  "species": ["La", "La", "La", "Y", "Ta"],
  "fractional_positions": [[0.0000, 0.0000, 0.5000], [0.0000, 0.5000, 0.0000], [0.5000, 0.0000, 0.0000], [0.0000, 0.0000, 0.0000], [0.5000, 0.5000, 0.5000]]
}

---

Record 11
{
  "formula": "Li4TaMn3S8",
  "functional": "PBE",
  "state": "relaxed",
  "e_tot_ev_per_atom": -5.936,
  "space_group": "R-3m",
  "n_ef_per_ev_cell": 6.1,
  "lattice": [[3.6055, 2.0816, 5.9887], [-3.6055, 2.0816, 5.9887], [0.0000, -4.1632, 5.9887]],
  "species": ["Li", "Li", "Li", "Li", "Ta", "Mn", "Mn", "Mn", "S", "S", "S", "S", "S", "S", "S", "S"],
  "fractional_positions": [[0.0000, 0.0000, 0.0000], [0.0000, 0.5000, 0.5000], [0.5000, 0.0000, 0.5000], [0.5000, 0.5000, 0.0000], [0.5000, 0.5000, 0.5000], [0.0000, 0.0000, 0.5000], [0.0000, 0.5000, 0.0000], [0.5000, 0.0000, 0.0000], [0.2403, 0.2403, 0.2403], [0.2548, 0.7413, 0.7413], [0.2587, 0.2587, 0.7452], [0.2587, 0.7452, 0.2587], [0.7413, 0.2548, 0.7413], [0.7413, 0.7413, 0.2548], [0.7452, 0.2587, 0.2587], [0.7597, 0.7597, 0.7597]]
}

---

Record 12
{
  "formula": "Y2Si2Br",
  "functional": "PBE",
  "state": "relaxed",
  "space_group": "I4/mmm",
  "n_ef_per_ev_cell": 12.1,
  "de_polymorph_mev_per_atom": 370,
  "lattice": [[5.3437, 0.0000, 0.0000], [0.0000, 5.3437, 0.0000], [0.0000, 0.0000, 9.3243]],
  "species": ["Y", "Y", "Y", "Y", "Si", "Si", "Si", "Si", "Br", "Br"],
  "fractional_positions": [[0.0000, 0.5000, 0.2500], [0.0000, 0.5000, 0.7500], [0.5000, 0.0000, 0.2500], [0.5000, 0.0000, 0.7500], [0.0000, 0.0000, 0.1224], [0.0000, 0.0000, 0.8776], [0.5000, 0.5000, 0.3776], [0.5000, 0.5000, 0.6224], [0.0000, 0.0000, 0.5000], [0.5000, 0.5000, 0.0000]]
}

---

| no. | total moment (Bohr magnetons per cell) | calculated volume (Å³ per atom) |
| --- | --- | --- |
| 1 | 0.000 | 34.10 |
| 2 | 4.389 | 13.07 |
| 3 | 4.008 | 14.03 |
| 4 | 0.000 | 28.45 |
| 5 | 0.002 | 17.20 |
| 6 | 0.000 | 20.22 |
| 7 | 0.000 | 16.00 |
| 8 | 1.999 | 15.51 |
| 9 | 0.000 | 19.28 |
| 10 | 0.001 | 35.59 |
| 11 | 13.843 | 16.85 |
| 12 | 0.000 | 26.63 |